[1]
An optimized crystal structure of Cr2IrW. Source: Alexandria via LeMat-Bulk, functional PBE.

Calculated values
DOS at the Fermi energy, states/eV/cell: 3.206
Total magnetic moment, μB/f.u.: 2.67
Calculated volume, Å³ per cell: 56.5
Calculated total energy, eV per cell: -40.702

```
Cr2IrW
1.0
-1.4740 -0.5676 -4.0064
2.1733 -2.4894 -2.7614
-1.6072 -3.8164 -1.1825
Cr Ir W
2 1 1
direct
0.0000 0.0000 0.0000
0.7500 0.7500 0.7500
0.5000 0.5000 0.5000
0.2500 0.2500 0.2500
```

---

[2]
An optimized crystal structure of RbNaLa2. Source: Alexandria via LeMat-Bulk, functional PBE.

Calculated values
DOS at the Fermi energy, states/eV/cell: 11.048
Total magnetic moment, μB/f.u.: 0.00
Calculated volume, Å³ per cell: 338.0
Calculated total energy, eV per cell: -19.368

```
RbNaLa2
1.0
10.0362 0.0000 0.0000
0.0000 10.0362 0.0000
5.0181 5.0181 3.3551
Na Rb La
2 2 4
direct
0.5000 0.5000 0.0000
0.2500 0.7500 0.5000
0.0000 0.0000 0.0000
0.7500 0.2500 0.5000
0.6149 0.1250 0.2500
0.1351 0.6250 0.2500
0.3750 0.3851 0.7500
0.8750 0.8649 0.7500
```

---

[3]
An optimized crystal structure of Ir2RuPt. Source: Alexandria via LeMat-Bulk, functional PBE.

Calculated values
DOS at the Fermi energy, states/eV/cell: 4.367
Total magnetic moment, μB/f.u.: 0.00
Calculated volume, Å³ per cell: 58.4
Calculated total energy, eV per cell: -32.964

```
Ir2RuPt
1.0
4.7620 -0.0022 0.0000
1.6138 4.4802 0.0000
-3.1879 -2.2390 2.7388
Ru Ir Pt
1 2 1
direct
0.7500 0.2500 0.5000
0.0000 0.0000 0.0000
0.5000 0.5000 0.0000
0.2500 0.7500 0.5000
```

---

[4]
An optimized crystal structure of PPbS3. Source: Alexandria via LeMat-Bulk, functional PBE.

Calculated values
DOS at the Fermi energy, states/eV/cell: 4.612
Formation energy (no corrections), eV per atom: 0.050
Total magnetic moment, μB/f.u.: 0.00
Calculated volume, Å³ per cell: 101.0
Calculated total energy, eV per cell: -21.250

```
PPbS3
1.0
-2.3163 2.8721 -2.8404
-3.9246 -0.8252 2.3660
0.9560 3.5710 2.8312
Pb P S
1 1 3
direct
0.5000 0.5000 0.5000
0.0000 0.0000 0.0000
0.0000 0.5000 0.0000
0.0000 0.0000 0.5000
0.5000 0.0000 0.0000
```

---

[5]
An optimized crystal structure of Ce3Si4Pt2. Source: Alexandria via LeMat-Bulk, functional PBE.

Calculated values
DOS at the Fermi energy, states/eV/cell: 12.162
Formation energy (no corrections), eV per atom: -1.001
Total magnetic moment, μB/f.u.: 1.35
Calculated volume, Å³ per cell: 185.0
Calculated total energy, eV per cell: -60.584

```
Ce3Si4Pt2
1.0
-1.4610 3.5882 1.5915
-1.3564 -0.4787 -5.6772
-6.2813 -4.0828 3.4388
Ce Si Pt
3 4 2
direct
0.6661 0.3323 0.6675
0.0000 0.0000 0.0000
0.3339 0.6677 0.3325
0.7244 0.4489 0.0578
0.2756 0.5511 0.9422
0.9493 0.8987 0.6139
0.0507 0.1013 0.3861
0.6110 0.2220 0.2801
0.3890 0.7780 0.7199
```

---

[6]
An optimized crystal structure of CdSiCl. Source: Alexandria via LeMat-Bulk, functional PBE.

Calculated values
DOS at the Fermi energy, states/eV/cell: 2.639
Formation energy (no corrections), eV per atom: 0.396
Total magnetic moment, μB/f.u.: 0.00
Calculated volume, Å³ per cell: 76.9
Calculated total energy, eV per cell: -6.996

```
CdSiCl
1.0
4.7724 0.0000 0.0000
2.3862 4.1330 0.0000
2.3862 1.3777 3.8966
Cd Cl Si
1 1 1
direct
0.0000 0.0000 0.0000
0.5000 0.5000 0.5000
0.7500 0.7500 0.7500
```